5
Lattice="3.956 0.000 0.000 0.000 3.956 0.000 0.000 0.000 3.950" Properties=species:S:1:pos:R:3 comment="NaWNO2, optimized geometry, DFT PBE with a Hubbard U" m_tot_mub_per_fu=0.029 energy_ev_per_atom=-6.657 pbc="T T T"
O 0.000 1.978 0.000
O 1.978 0.000 0.000
W 0.000 0.000 0.000
Na 1.978 1.978 1.975
N 0.000 0.000 1.975